# 1
An optimized crystal structure of MnNiPb2. Source: Alexandria, functional PBE.

Geometry as CIF:
```
data_MnNiPb2
_symmetry_space_group_name_H-M 'I m m m'
_symmetry_Int_Tables_number 71
_symmetry_space_group_name_Hall '-I 2 2'
_cell_length_a 4.5154
_cell_length_b 5.3273
_cell_length_c 6.8654
_cell_angle_alpha 90.00
_cell_angle_beta 90.00
_cell_angle_gamma 90.00
loop_
_atom_site_label
_atom_site_type_symbol
_atom_site_fract_x
_atom_site_fract_y
_atom_site_fract_z
_atom_site_occupancy
Mn1 Mn 0.0000 0.0000 0.0000 1
Ni1 Ni 0.0000 0.0000 0.5000 1
Pb1 Pb 0.0000 0.5000 0.2427 1
```

Computed properties:
**Total moment**: 1.04 μB/atom
**Energy relative to the lowest polymorph listed for this composition**: 0.95 eV/f.u.
**ΔE_f**: 423.2 meV/atom
**DOS(E_F)**: 2.77 states/eV/f.u.
**E_tot**: -5.169 eV per atom

---

# 2
An optimized crystal structure of MnNiPb2. Source: Alexandria, functional PBE.

Geometry as CIF:
```
data_MnNiPb2
_symmetry_space_group_name_H-M 'C 1 2/m 1'
_symmetry_Int_Tables_number 12
_cell_length_a 6.8519
_cell_length_b 6.8835
_cell_length_c 3.4098
_cell_angle_alpha 90.00
_cell_angle_beta 92.94
_cell_angle_gamma 90.00
loop_
_symmetry_equiv_pos_as_xyz
'x,y,z'
'-x,-y,-z'
'-x,y,-z'
'x,-y,z'
'x+1/2,y+1/2,z'
'-x+1/2,-y+1/2,-z'
'-x+1/2,y+1/2,-z'
'x+1/2,-y+1/2,z'
loop_
_atom_site_label
_atom_site_type_symbol
_atom_site_fract_x
_atom_site_fract_y
_atom_site_fract_z
_atom_site_occupancy
Mn1 Mn 0.0000 0.0000 0.0000 1
Ni1 Ni 0.0000 0.5000 0.0000 1
Pb1 Pb 0.2500 0.2500 0.5000 1
```

Computed properties:
**Total moment**: 0.93 μB/atom
**Energy relative to the lowest polymorph listed for this composition**: 0.87 eV/f.u.
**ΔE_f**: 403.4 meV/atom
**DOS(E_F)**: 2.31 states/eV/f.u.
**E_tot**: -5.188 eV per atom

---

# 3
An optimized crystal structure of MnNiPb3. Source: Alexandria, functional PBE.

Geometry as CIF:
```
data_MnNiPb3
_symmetry_space_group_name_H-M 'P m -3 m'
_symmetry_Int_Tables_number 221
_symmetry_space_group_name_Hall '-P 4 2 3'
_cell_length_a 5.1002
_cell_length_b 5.1002
_cell_length_c 5.1002
_cell_angle_alpha 90.00
_cell_angle_beta 90.00
_cell_angle_gamma 90.00
loop_
_atom_site_label
_atom_site_type_symbol
_atom_site_fract_x
_atom_site_fract_y
_atom_site_fract_z
_atom_site_occupancy
Mn1 Mn 0.0000 0.0000 0.0000 1
Ni1 Ni 0.5000 0.5000 0.5000 1
Pb1 Pb 0.0000 0.0000 0.5000 1
```

Computed properties:
**Total moment**: 0.22 μB/atom
**Energy relative to the lowest polymorph listed for this composition**: 1.39 eV/f.u.
**ΔE_f**: 790.5 meV/atom
**DOS(E_F)**: 3.84 states/eV/f.u.
**E_tot**: -4.425 eV per atom

---

# 4
An optimized crystal structure of Mn2NiPb. Source: Alexandria, functional PBE.

Geometry as CIF:
```
data_Mn2NiPb
_symmetry_space_group_name_H-M 'P 1 m 1'
_symmetry_Int_Tables_number 6
_cell_length_a 3.0262
_cell_length_b 3.9690
_cell_length_c 5.8625
_cell_angle_alpha 90.00
_cell_angle_beta 104.85
_cell_angle_gamma 90.00
loop_
_symmetry_equiv_pos_as_xyz
'x,y,z'
'x,-y,z'
loop_
_atom_site_label
_atom_site_type_symbol
_atom_site_fract_x
_atom_site_fract_y
_atom_site_fract_z
_atom_site_occupancy
Mn1 Mn 0.0000 0.0000 0.0000 1
Mn2 Mn 0.3685 0.5000 0.7341 1
Ni1 Ni 0.5725 0.5000 0.1474 1
Pb1 Pb 0.7391 0.0000 0.4743 1
```

Computed properties:
**Total moment**: 1.98 μB/atom
**ΔE_f**: 371.2 meV/atom
**DOS(E_F)**: 2.70 states/eV/f.u.
**E_tot**: -6.586 eV per atom